#a
The following is a PBE calculation of crystalline Ga2TeS4 at its relaxed geometry, from Alexandria.

Structure (POSCAR):
```
Ga2TeS4
1.0
-3.762 3.762 3.113
3.762 -3.762 3.113
3.762 3.762 -3.113
Ga Te S
2 1 4
Direct
0.250 0.750 0.500 Ga
0.750 0.250 0.500 Ga
0.000 0.000 0.000 Te
0.150 0.672 0.822 S
0.328 0.150 0.478 S
0.672 0.850 0.522 S
0.850 0.328 0.178 S
```

magnetization: 0.00 μB/cell
symmetry: I4/m
V: 25.18 Å³ per atom

---

#b
The following is a PBE calculation of crystalline Ga2TeS4 at its relaxed geometry, from Alexandria.

Structure (POSCAR):
```
Ga2TeS4
1.0
-2.654 2.654 6.037
2.654 -2.654 6.037
2.654 2.654 -6.037
Ga Te S
2 1 4
Direct
0.105 0.105 0.000 Ga
0.895 0.895 0.000 Ga
0.500 0.500 0.000 Te
0.000 0.500 0.500 S
0.287 0.287 0.000 S
0.500 0.000 0.500 S
0.713 0.713 0.000 S
```

magnetization: 0.00 μB/cell
symmetry: I4/mmm
V: 24.29 Å³ per atom

---

Energies relative to the most stable structure, in meV/atom: #a 0; #b 633.

---

#a
The following is a PBE calculation of crystalline GaTeS4 at its relaxed geometry, from Alexandria.

Structure (POSCAR):
```
GaTeS4
1.0
7.422 -1.796 0.000
7.422 1.796 0.000
-2.517 0.000 5.722
Ga Te S
1 1 4
Direct
0.000 0.000 0.000 Ga
0.500 0.500 0.500 Te
0.112 0.112 0.429 S
0.396 0.396 0.055 S
0.604 0.604 0.945 S
0.888 0.888 0.571 S
```

magnetization: 0.00 μB/cell
symmetry: C2/m
V: 25.42 Å³ per atom

---

#b
The following is a PBE calculation of crystalline GaTeS4 at its relaxed geometry, from Alexandria.

Structure (POSCAR):
```
GaTeS4
1.0
4.928 0.000 0.000
0.000 3.803 0.000
-1.103 0.000 7.149
Ga Te S
1 1 4
Direct
0.000 0.000 0.000 Ga
0.000 0.500 0.500 Te
0.232 0.000 0.315 S
0.315 0.500 0.913 S
0.685 0.500 0.087 S
0.768 0.000 0.685 S
```

magnetization: 0.00 μB/cell
symmetry: P2/m
V: 22.33 Å³ per atom

---

Energies relative to the most stable structure, in meV/atom: #a 8; #b 0.